Entry from the Alexandria database: Al3ReRu after structural relaxation (GGA-PBE).

As for the total energy: -5.765 eV per atom. The calculated volume comes out at 18.845 Å³ per atom. Its distance to the lowest polymorph of the same formula is 0 meV/atom.

The space group is Pm-3m (No. 221) and the conventional cell measures 4.5505, 4.5505 and 4.5505 Å, with angles of 90.00, 90.00 and 90.00 degrees. The distinct sites, in fractional coordinates, are Al at (0.0000, 0.0000, 0.5000), Re at (0.5000, 0.5000, 0.5000) and Ru at (0.0000, 0.0000, 0.0000).

=====

Entry from the Alexandria database: AlRe2Ru after structural relaxation (GGA-PBE).

As for the total energy: -9.332 eV per atom. The calculated volume comes out at 14.544 Å³ per atom.

The space group is P4/mmm (No. 123) and the conventional cell measures 4.5481, 4.5481 and 2.8124 Å, with angles of 90.00, 90.00 and 90.00 degrees. The distinct sites, in fractional coordinates, are Al at (0.0000, 0.0000, 0.0000), Re at (0.0000, 0.5000, 0.5000) and Ru at (0.5000, 0.5000, 0.0000).

=====

Entry from the Alexandria database: AlRe2Ru after structural relaxation (GGA-PBE).

As for the total energy: -9.417 eV per atom. The calculated volume comes out at 14.649 Å³ per atom.

The space group is P4/mmm (No. 123) and the conventional cell measures 3.6778, 3.6778 and 4.3321 Å, with angles of 90.00, 90.00 and 90.00 degrees. The distinct sites, in fractional coordinates, are Al at (0.0000, 0.0000, 0.0000), Re at (0.0000, 0.5000, 0.5000) and Ru at (0.5000, 0.5000, 0.0000).

=====

Entry from the Alexandria database: Al2ReRu after structural relaxation (GGA-PBE).

As for the total energy: -7.449 eV per atom. The calculated volume comes out at 14.456 Å³ per atom.

The space group is Pmmm (No. 47) and the conventional cell measures 3.0082, 4.1147 and 4.6717 Å, with angles of 90.00, 90.00 and 90.00 degrees. The distinct sites, in fractional coordinates, are Al at (0.0000, 0.0000, 0.0000), Al at (0.5000, 0.0000, 0.5000), Re at (0.0000, 0.5000, 0.5000) and Ru at (0.5000, 0.5000, 0.0000).

=====

Entry from the Alexandria database: AlRe2Ru after structural relaxation (GGA-PBE).

As for the total energy: -9.503 eV per atom. The calculated volume comes out at 14.415 Å³ per atom.

The space group is P4/mmm (No. 123) and the conventional cell measures 2.8177, 2.8177 and 7.2626 Å, with angles of 90.00, 90.00 and 90.00 degrees. The distinct sites, in fractional coordinates, are Al at (0.0000, 0.0000, 0.0000), Re at (0.5000, 0.5000, 0.2477) and Ru at (0.0000, 0.0000, 0.5000).

=====

Entry from the Alexandria database: AlReRu after structural relaxation (GGA-PBE).

As for the total energy: -8.461 eV per atom. The calculated volume comes out at 14.582 Å³ per atom.

The space group is Fmm2 (No. 42) and the conventional cell measures 2.8904, 4.6670 and 12.9715 Å, with angles of 90.00, 90.00 and 90.00 degrees. The distinct sites, in fractional coordinates, are Al at (0.0000, 0.0000, 0.0000), Re at (0.0000, 0.0000, 0.3288) and Ru at (0.0000, 0.0000, 0.6605).

=====

Entry from the Alexandria database: AlRe2Ru after structural relaxation (GGA-PBE).

As for the total energy: -9.559 eV per atom. The calculated volume comes out at 14.641 Å³ per atom.

The space group is Cm (No. 8) and the conventional cell measures 9.1681, 2.8916 and 4.6560 Å, with angles of 90.00, 108.39 and 90.00 degrees. The distinct sites, in fractional coordinates, are Al at (0.0000, 0.0000, 0.0000), Re at (0.2398, 0.0000, 0.6449), Re at (0.4924, 0.0000, 0.5013) and Ru at (0.2449, 0.5000, 0.1311).

=====

Entry from the Alexandria database: AlRe2Ru after structural relaxation (GGA-PBE).

As for the total energy: -9.570 eV per atom. The calculated volume comes out at 14.580 Å³ per atom.

The space group is C2/m (No. 12) and the conventional cell measures 9.3477, 2.8405 and 4.4993 Å, with angles of 90.00, 102.48 and 90.00 degrees. The distinct sites, in fractional coordinates, are Al at (0.0000, 0.0000, 0.0000), Re at (0.2455, 0.0000, 0.7462) and Ru at (0.0000, 0.5000, 0.5000).

=====

Entry from the Alexandria database: Al2ReRu after structural relaxation (GGA-PBE).

As for the total energy: -7.624 eV per atom. The calculated volume comes out at 14.345 Å³ per atom.

The space group is Cm (No. 8) and the conventional cell measures 9.3916, 2.8754 and 4.4756 Å, with angles of 90.00, 108.28 and 90.00 degrees. The distinct sites, in fractional coordinates, are Al at (0.0000, 0.0000, 0.0000), Al at (0.2297, 0.0000, 0.6488), Re at (0.2513, 0.5000, 0.1557) and Ru at (0.4849, 0.0000, 0.5034).

=====

Entry from the Alexandria database: AlReRu after structural relaxation (GGA-PBE).

As for the total energy: -8.666 eV per atom. The calculated volume comes out at 14.302 Å³ per atom.

The space group is Imm2 (No. 44) and the conventional cell measures 2.8108, 3.7756 and 8.0860 Å, with angles of 90.00, 90.00 and 90.00 degrees. The distinct sites, in fractional coordinates, are Al at (0.0000, 0.0000, 0.0000), Re at (0.0000, 0.0000, 0.6695) and Ru at (0.0000, 0.0000, 0.3333).

=====

Entry from the Alexandria database: Al2ReRu after structural relaxation (GGA-PBE).

As for the total energy: -7.576 eV per atom. The calculated volume comes out at 14.188 Å³ per atom.

The space group is P4mm (No. 99) and the conventional cell measures 3.1021, 3.1021 and 5.8976 Å, with angles of 90.00, 90.00 and 90.00 degrees. The distinct sites, in fractional coordinates, are Al at (0.0000, 0.0000, 0.0000), Al at (0.5000, 0.5000, 0.2608), Re at (0.0000, 0.0000, 0.4902) and Ru at (0.5000, 0.5000, 0.7793).

=====

Entry from the Alexandria database: AlRe2Ru after structural relaxation (GGA-PBE).

As for the total energy: -8.779 eV per atom. The calculated volume comes out at 16.373 Å³ per atom.

The space group is I-42d (No. 122) and the conventional cell measures 7.1700, 7.1700 and 5.0958 Å, with angles of 90.00, 90.00 and 90.00 degrees. The distinct sites, in fractional coordinates, are Al at (0.0000, 0.0000, 0.0000), Re at (0.2227, 0.7500, 0.6250) and Ru at (0.0000, 0.0000, 0.5000).

=====

Number 1: spin magnetization 3.00 μB per formula unit, DFT formation energy 4.1 eV/f.u.. Number 2: spin magnetization 0.00 μB per formula unit, DFT formation energy 0.6 eV/f.u.. Number 3: spin magnetization 0.00 μB per formula unit, DFT formation energy 0.2 eV/f.u.. Number 4: spin magnetization 0.00 μB per formula unit, DFT formation energy -0.6 eV/f.u.. Number 5: spin magnetization 0.00 μB per formula unit, DFT formation energy -0.1 eV/f.u.. Number 6: spin magnetization 0.06 μB per formula unit, DFT formation energy 0.1 eV/f.u.. Number 7: spin magnetization 0.00 μB per formula unit, DFT formation energy -0.3 eV/f.u.. Number 8: spin magnetization 0.00 μB per formula unit, DFT formation energy -0.4 eV/f.u.. Number 9: spin magnetization 0.00 μB per formula unit, DFT formation energy -1.3 eV/f.u.. Number 10: spin magnetization 0.00 μB per formula unit, DFT formation energy -0.5 eV/f.u.. Number 11: spin magnetization 0.00 μB per formula unit, DFT formation energy -1.1 eV/f.u.. Number 12: spin magnetization 0.00 μB per formula unit, DFT formation energy 2.8 eV/f.u..